#one
The following is a DFT calculation (PBE) of a relaxed LaMo3 crystal.

Lattice parameters (Å, degrees): 4.278 4.278 4.278 90.00 90.00 90.00
Atoms (fractional coordinates):
La (0.000, 0.000, 0.000)
Mo (0.000, 0.500, 0.500)
Mo (0.500, 0.000, 0.500)
Mo (0.500, 0.500, 0.000)

Output
Its symmetry is Pm-3m (221). Its size of the total moment is 2.23 μB/f.u.

***

#two
The following is a DFT calculation (PBE) of a relaxed LaMo3 crystal.

Lattice parameters (Å, degrees): 5.350 5.350 5.350 90.00 90.00 90.00
Atoms (fractional coordinates):
La (0.000, 0.000, 0.000)
La (0.500, 0.500, 0.500)
Mo (0.000, 0.250, 0.500)
Mo (0.000, 0.750, 0.500)
Mo (0.250, 0.500, 0.000)
Mo (0.500, 0.000, 0.250)
Mo (0.500, 0.000, 0.750)
Mo (0.750, 0.500, 0.000)

Output
Its symmetry is Pm-3n (223). Its size of the total moment is 0.00 μB/f.u.

***

Of them, #one has the lowest stability.

***

#one
The following is a DFT calculation (PBE) of a relaxed LaMo2 crystal.

Lattice parameters (Å, degrees): 6.788 6.788 4.887 90.00 90.00 120.00
Atoms (fractional coordinates):
La (0.000, 0.000, 0.000)
La (0.333, 0.667, 0.500)
La (0.667, 0.333, 0.500)
Mo (0.000, 0.224, 0.500)
Mo (0.000, 0.491, 0.000)
Mo (0.224, 0.000, 0.500)
Mo (0.491, 0.000, 0.000)
Mo (0.509, 0.509, 0.000)
Mo (0.776, 0.776, 0.500)

Output
Its symmetry is P-62m (189). Its size of the total moment is 1.12 μB/f.u.

***

#two
The following is a DFT calculation (PBE) of a relaxed LaMo2 crystal.

Lattice parameters (Å, degrees): 3.654 3.654 5.373 90.00 90.00 90.00
Atoms (fractional coordinates):
La (0.000, 0.000, 0.000)
Mo (0.000, 0.500, 0.500)
Mo (0.500, 0.000, 0.500)

Output
Its symmetry is P4/mmm (123). Its size of the total moment is 0.00 μB/f.u.

***

Of them, #one has the lowest stability.

***

#one
The following is a DFT calculation (PBE) of a relaxed LaMo5 crystal.

Lattice parameters (Å, degrees): 5.416 5.416 6.709 106.75 106.75 34.48
Atoms (fractional coordinates):
La (0.000, 0.000, 0.000)
Mo (0.000, 0.000, 0.500)
Mo (0.322, 0.322, 0.644)
Mo (0.333, 0.333, 0.183)
Mo (0.667, 0.667, 0.817)
Mo (0.678, 0.678, 0.356)

Output
Its symmetry is C2/m (12). Its size of the total moment is 0.00 μB/f.u.

***

#two
The following is a DFT calculation (PBE) of a relaxed LaMo5 crystal.

Lattice parameters (Å, degrees): 5.777 5.777 5.777 50.89 50.89 50.89
Atoms (fractional coordinates):
La (0.000, 0.000, 0.000)
Mo (0.193, 0.500, 0.807)
Mo (0.330, 0.330, 0.330)
Mo (0.500, 0.807, 0.193)
Mo (0.670, 0.670, 0.670)
Mo (0.807, 0.193, 0.500)

Output
Its symmetry is R32 (155). Its size of the total moment is 0.00 μB/f.u.

***

Of them, #two has the lowest stability.

***

#one
The following is a DFT calculation (PBE) of a relaxed LaMo5 crystal.

Lattice parameters (Å, degrees): 4.650 7.263 7.263 25.72 90.00 90.00
Atoms (fractional coordinates):
La (0.000, 0.000, 0.000)
Mo (0.000, 0.322, 0.322)
Mo (0.000, 0.678, 0.678)
Mo (0.500, 0.174, 0.174)
Mo (0.500, 0.500, 0.500)
Mo (0.500, 0.826, 0.826)

Output
Its symmetry is Amm2 (38). Its size of the total moment is 0.00 μB/f.u.

***

#two
The following is a DFT calculation (PBE) of a relaxed LaMo5 crystal.

Lattice parameters (Å, degrees): 5.422 5.422 5.422 60.00 60.00 60.00
Atoms (fractional coordinates):
La (0.000, 0.000, 0.000)
Mo (0.376, 0.376, 0.376)
Mo (0.376, 0.376, 0.873)
Mo (0.376, 0.873, 0.376)
Mo (0.750, 0.750, 0.750)
Mo (0.873, 0.376, 0.376)

Output
Its symmetry is F-43m (216). Its size of the total moment is 0.00 μB/f.u.

***

Of them, #two has the lowest stability.